Density functional theory data (PBE-GGA) for crystalline NiBrCl2 at its relaxed geometry.

Cell: 6.9154 6.9154 6.9154 Å, 90.00 90.00 90.00°
Space group Fm-3m (No. 225)
Symmetry-distinct sites (fractional):
Ni 0.0000 0.0000 0.0000 (multiplicity 4)
Br 0.0000 0.0000 0.5000 (multiplicity 4)
Cl 0.2500 0.2500 0.2500 (multiplicity 8)

Results
Crystal system ... cubic
Raw formation energy ... 0.67 eV/atom
Polymorph energy (0 for the lowest one) ... 1.062 eV per atom